No. 1
A plane-wave DFT calculation with GGA-PBE was carried out for Re2TeN after structural relaxation.

Unit cell a=4.828 b=4.828 c=12.133 alpha=90.00 beta=90.00 gamma=90.00
Space group I-42d (No. 122)
Inequivalent atoms, fractional coordinates:
Re 0.122 0.250 0.125 x8
Te 0.000 0.000 0.500 x4
N 0.000 0.000 0.000 x4

Values from the calculation:
Its offset from the most stable computed form is 0 meV/atom. For the energy, the calculation gives -8.48 eV/atom. The raw formation energy comes out at 0.61 eV per atom.


No. 2
A plane-wave DFT calculation with GGA-PBE was carried out for Re2TeN after structural relaxation.

Unit cell a=6.151 b=6.151 c=6.151 alpha=90.00 beta=90.00 gamma=90.00
Space group Fm-3m (No. 225)
Inequivalent atoms, fractional coordinates:
Re 0.250 0.250 0.250 x8
Te 0.000 0.000 0.000 x4
N 0.000 0.000 0.500 x4

Values from the calculation:
Its offset from the most stable computed form is 816 meV/atom. For the energy, the calculation gives -7.66 eV/atom. The raw formation energy comes out at 1.43 eV per atom.


No. 3
A plane-wave DFT calculation with GGA-PBE was carried out for ReTe2N after structural relaxation.

Unit cell a=4.0270 b=4.0270 c=19.8035 alpha=90.00 beta=90.00 gamma=120.00
Space group R-3m (No. 166, hexagonal axes)
Inequivalent atoms, fractional coordinates:
Re 0.0000 0.0000 0.0000 x3
Te 0.0000 0.0000 0.4021 x6
N 0.0000 0.0000 0.5000 x3

Values from the calculation:
For the energy, the calculation gives -5.75 eV/atom. The raw formation energy comes out at 1.02 eV per atom.


No. 4
A plane-wave DFT calculation with GGA-PBE was carried out for ReTe2N after structural relaxation.

Unit cell a=3.1591 b=3.1591 c=25.6367 alpha=90.00 beta=90.00 gamma=120.00
Space group R-3m (No. 166, hexagonal axes)
Inequivalent atoms, fractional coordinates:
Re 0.0000 0.0000 0.0000 x3
Te 0.0000 0.0000 0.1017 x6
N 0.0000 0.0000 0.5000 x3

Values from the calculation:
For the energy, the calculation gives -5.26 eV/atom. The raw formation energy comes out at 1.51 eV per atom.


No. 5
A plane-wave DFT calculation with GGA-PBE was carried out for Re3TeN after structural relaxation.

Unit cell a=4.186 b=4.186 c=4.186 alpha=90.00 beta=90.00 gamma=90.00
Space group Pm-3m (No. 221)
Inequivalent atoms, fractional coordinates:
Re 0.000 0.000 0.500 x3
Te 0.500 0.500 0.500 x1
N 0.000 0.000 0.000 x1

Values from the calculation:
Its offset from the most stable computed form is 0 meV/atom. For the energy, the calculation gives -8.92 eV/atom. The raw formation energy comes out at 0.84 eV per atom.


No. 6
A plane-wave DFT calculation with GGA-PBE was carried out for ReTe2N2 after structural relaxation.

Unit cell a=5.361 b=5.361 c=3.713 alpha=90.00 beta=90.00 gamma=90.00
Space group P4/mmm (No. 123)
Inequivalent atoms, fractional coordinates:
Re 0.000 0.000 0.000 x1
Te 0.000 0.500 0.000 x2
N 0.000 0.000 0.500 x1
N 0.500 0.500 0.500 x1

Values from the calculation:
Its offset from the most stable computed form is 621 meV/atom. For the energy, the calculation gives -5.74 eV/atom. The raw formation energy comes out at 1.33 eV per atom.


No. 7
A plane-wave DFT calculation with GGA-PBE was carried out for ReTe2N after structural relaxation.

Unit cell a=5.732 b=5.732 c=10.894 alpha=90.00 beta=90.00 gamma=90.00
Space group I-42d (No. 122)
Inequivalent atoms, fractional coordinates:
Re 0.000 0.000 0.000 x4
Te 0.217 0.250 0.625 x8
N 0.000 0.000 0.500 x4

Values from the calculation:
For the energy, the calculation gives -5.61 eV/atom. The raw formation energy comes out at 1.16 eV per atom.


No. 8
A plane-wave DFT calculation with GGA-PBE was carried out for ReTe2N2 after structural relaxation.

Unit cell a=3.980 b=3.980 c=6.002 alpha=90.00 beta=90.00 gamma=90.00
Space group P4/mmm (No. 123)
Inequivalent atoms, fractional coordinates:
Re 0.000 0.000 0.000 x1
Te 0.000 0.000 0.500 x1
Te 0.500 0.500 0.500 x1
N 0.000 0.500 0.000 x2

Values from the calculation:
Its offset from the most stable computed form is 0 meV/atom. For the energy, the calculation gives -6.37 eV/atom. The raw formation energy comes out at 0.71 eV per atom.


No. 9
A plane-wave DFT calculation with GGA-PBE was carried out for Re3TeN after structural relaxation.

Unit cell a=4.825 b=4.825 c=4.825 alpha=90.00 beta=90.00 gamma=90.00
Space group Pm-3m (No. 221)
Inequivalent atoms, fractional coordinates:
Re 0.000 0.000 0.500 x3
Te 0.000 0.000 0.000 x1
N 0.500 0.500 0.500 x1

Values from the calculation:
Its offset from the most stable computed form is 3041 meV/atom. For the energy, the calculation gives -5.88 eV/atom. The raw formation energy comes out at 3.88 eV per atom.


No. 10
A plane-wave DFT calculation with GGA-PBE was carried out for ReTe2N2 after structural relaxation.

Unit cell a=3.965 b=3.965 c=6.703 alpha=90.00 beta=90.00 gamma=90.00
Space group P4/mmm (No. 123)
Inequivalent atoms, fractional coordinates:
Re 0.000 0.000 0.000 x1
Te 0.500 0.500 0.000 x1
Te 0.500 0.500 0.500 x1
N 0.000 0.500 0.500 x2

Values from the calculation:
Its offset from the most stable computed form is 1351 meV/atom. For the energy, the calculation gives -5.01 eV/atom. The raw formation energy comes out at 2.06 eV per atom.


No. 11
A plane-wave DFT calculation with GGA-PBE was carried out for TiReTe2N after structural relaxation.

Unit cell a=5.441 b=5.441 c=3.723 alpha=90.00 beta=90.00 gamma=90.00
Space group P4/mmm (No. 123)
Inequivalent atoms, fractional coordinates:
Ti 0.000 0.000 0.000 x1
Re 0.500 0.500 0.500 x1
Te 0.000 0.500 0.500 x2
N 0.500 0.500 0.000 x1

Values from the calculation:
Its offset from the most stable computed form is 0 meV/atom. For the energy, the calculation gives -6.61 eV/atom. The raw formation energy comes out at 0.38 eV per atom.


No. 12
A plane-wave DFT calculation with GGA-PBE was carried out for TiReTe2N after structural relaxation.

Unit cell a=5.429 b=5.429 c=3.632 alpha=90.00 beta=90.00 gamma=90.00
Space group P4/mmm (No. 123)
Inequivalent atoms, fractional coordinates:
Ti 0.000 0.000 0.000 x1
Re 0.500 0.500 0.500 x1
Te 0.000 0.500 0.000 x2
N 0.000 0.000 0.500 x1

Values from the calculation:
Its offset from the most stable computed form is 421 meV/atom. For the energy, the calculation gives -6.19 eV/atom. The raw formation energy comes out at 0.80 eV per atom.